Sr2Hf2O5 after structural relaxation. Source: the Open Quantum Materials Database, functional PBE.

Output
Electronic total energy ... -7.4214 eV/atom

CIF file:
```
data_Sr2Hf2O5
_chemical_formula_sum 'Sr2 Hf2 O5'
_symmetry_space_group_name_H-M 'P 4/m m m'
_symmetry_Int_Tables_number 123
_symmetry_space_group_name_Hall '-P 4 2'
_cell_length_a 3.536
_cell_length_b 3.536
_cell_length_c 11.296
_cell_angle_alpha 90.00
_cell_angle_beta 90.00
_cell_angle_gamma 90.00
loop_
_atom_site_label
_atom_site_fract_x
_atom_site_fract_y
_atom_site_fract_z
_atom_site_occupancy
Sr1 0.000 0.000 0.243 1
Hf1 0.500 0.500 0.000 1
Hf2 0.500 0.500 0.500 1
O1 0.000 0.000 0.500 1
O2 0.000 0.500 0.111 1
```